Compound: Er2H2SBr
Source: Alexandria
Functional: PBE-GGA
Structure: optimized geometry

Unit cell a=3.7121 b=3.7121 c=8.2418 alpha=90.00 beta=90.00 gamma=120.00
Space group P-3m1 (No. 164)
Asymmetric unit:
1 Er 0.3333 0.6667 0.2079 x2
2 H 0.3333 0.6667 0.7523 x2
3 S 0.0000 0.0000 0.0000 x1
4 Br 0.0000 0.0000 0.5000 x1

Summary:
theoretical density = 7.57 Mg/m³
magnetic moment = 0.00 μB/f.u.
D(E_F) = 1.6 states/eV/cell



Compound: NaErHgBr6
Source: Alexandria
Functional: PBE-GGA
Structure: optimized geometry

Unit cell a=7.1674 b=7.1674 c=13.5125 alpha=90.00 beta=90.00 gamma=120.00
Space group P-31c (No. 163)
Asymmetric unit:
1 Na 0.0000 0.0000 0.0000 x2
2 Er 0.3333 0.6667 0.2500 x2
3 Hg 0.3333 0.6667 0.7500 x2
4 Br 0.0078 0.3582 0.1300 x12

Summary:
theoretical density = 4.81 Mg/m³
magnetic moment = 0.00 μB/f.u.
D(E_F) = 0.0 states/eV/cell



Compound: RbErHgBr6
Source: Alexandria
Functional: PBE-GGA
Structure: optimized geometry

Unit cell a=7.3446 b=7.3446 c=7.6547 alpha=90.00 beta=90.00 gamma=120.00
Space group P312 (No. 149)
Asymmetric unit:
1 Rb 0.0000 0.0000 0.0000 x1
2 Er 0.6667 0.3333 0.5000 x1
3 Hg 0.3333 0.6667 0.5000 x1
4 Br 0.3793 0.0076 0.2856 x6

Summary:
theoretical density = 4.33 Mg/m³
magnetic moment = 0.00 μB/f.u.
D(E_F) = 0.0 states/eV/cell



Compound: Rb2ErHgBr6
Source: Alexandria
Functional: PBE-GGA
Structure: optimized geometry

Unit cell a=8.0189 b=11.6315 c=8.5860 alpha=90.00 beta=90.00 gamma=90.00
Space group Pmmn (No. 59, origin choice 2)
Asymmetric unit:
1 Rb 0.2500 0.0316 0.2011 x4
2 Er 0.2500 0.7500 0.7759 x2
3 Hg 0.2500 0.2500 0.7161 x2
4 Br 0.0045 0.2500 0.4412 x4
5 Br 0.0088 0.7500 0.0100 x4
6 Br 0.2500 0.5112 0.7841 x4

Summary:
theoretical density = 4.22 Mg/m³
magnetic moment = 0.00 μB/f.u.
D(E_F) = 8.9 states/eV/cell



Compound: ErTlHgBr6
Source: Alexandria
Functional: PBE-GGA
Structure: optimized geometry

Unit cell a=7.3196 b=7.3196 c=14.5815 alpha=90.00 beta=90.00 gamma=120.00
Space group P-31c (No. 163)
Asymmetric unit:
1 Er 0.3333 0.6667 0.2500 x2
2 Tl 0.0000 0.0000 0.0000 x2
3 Hg 0.3333 0.6667 0.7500 x2
4 Br 0.0074 0.3745 0.1380 x12

Summary:
theoretical density = 5.16 Mg/m³
magnetic moment = 0.00 μB/f.u.
D(E_F) = 0.0 states/eV/cell



Compound: Ho2ErBr
Source: Alexandria
Functional: PBE-GGA
Structure: optimized geometry

Unit cell a=3.6205 b=3.6205 c=30.4733 alpha=90.00 beta=90.00 gamma=120.00
Space group R-3m (No. 166, hexagonal axes)
Asymmetric unit:
1 Ho 0.0000 0.0000 0.2431 x6
2 Er 0.0000 0.0000 0.0000 x3
3 Br 0.0000 0.0000 0.5000 x3

Summary:
theoretical density = 8.31 Mg/m³
magnetic moment = 0.01 μB/f.u.
D(E_F) = 13.6 states/eV/cell



Compound: HoEr2Br
Source: Alexandria
Functional: PBE-GGA
Structure: optimized geometry

Unit cell a=3.6144 b=3.6144 c=30.3844 alpha=90.00 beta=90.00 gamma=120.00
Space group R-3m (No. 166, hexagonal axes)
Asymmetric unit:
1 Ho 0.0000 0.0000 0.0000 x3
2 Er 0.0000 0.0000 0.2431 x6
3 Br 0.0000 0.0000 0.5000 x3

Summary:
theoretical density = 8.40 Mg/m³
magnetic moment = 0.00 μB/f.u.
D(E_F) = 13.4 states/eV/cell



Compound: HoErBr2
Source: Alexandria
Functional: PBE-GGA
Structure: optimized geometry

Unit cell a=3.6295 b=3.6295 c=29.8779 alpha=90.00 beta=90.00 gamma=120.00
Space group R-3m (No. 166, hexagonal axes)
Asymmetric unit:
1 Ho 0.0000 0.0000 0.0000 x3
2 Er 0.0000 0.0000 0.5000 x3
3 Br 0.0000 0.0000 0.4037 x6

Summary:
theoretical density = 7.19 Mg/m³
magnetic moment = 0.00 μB/f.u.
D(E_F) = 7.1 states/eV/cell



Compound: Er2I2Br
Source: Alexandria
Functional: PBE-GGA
Structure: optimized geometry

Unit cell a=13.7181 b=5.9028 c=8.4999 alpha=90.00 beta=116.07 gamma=90.00
Space group C2/m (No. 12)
Asymmetric unit:
1 Er 0.0044 0.0000 0.2127 x4
2 Er 0.1342 0.5000 0.0575 x4
3 I 0.0405 0.5000 0.3226 x4
4 I 0.2066 0.0000 0.1271 x4
5 Br 0.1458 0.0000 0.6228 x4

Summary:
theoretical density = 7.18 Mg/m³
magnetic moment = 0.00 μB/f.u.
D(E_F) = 6.2 states/eV/cell



Compound: ErIBrO4
Source: Alexandria
Functional: PBE-GGA
Structure: optimized geometry

Unit cell a=11.0733 b=6.8213 c=6.4766 alpha=90.00 beta=91.62 gamma=90.00
Space group C2/m (No. 12)
Asymmetric unit:
1 Er 0.2307 0.0000 0.1595 x4
2 I 0.1261 0.0000 0.6604 x4
3 Br 0.0543 0.5000 0.1634 x4
4 O 0.0484 0.0000 0.2429 x4
5 O 0.1800 0.1922 0.8495 x8
6 O 0.2245 0.5000 0.4987 x4

Summary:
theoretical density = 5.95 Mg/m³
magnetic moment = 0.00 μB/f.u.



Compound: Er2InBr
Source: Alexandria
Functional: PBE-GGA
Structure: optimized geometry

Unit cell a=3.4967 b=3.4967 c=32.8948 alpha=90.00 beta=90.00 gamma=120.00
Space group R-3m (No. 166, hexagonal axes)
Asymmetric unit:
1 Er 0.0000 0.0000 0.0951 x6
2 In 0.0000 0.0000 0.0000 x3
3 Br 0.0000 0.0000 0.5000 x3

Summary:
theoretical density = 7.57 Mg/m³
magnetic moment = 0.00 μB/f.u.
D(E_F) = 12.2 states/eV/cell



Compound: ErInBr2
Source: Alexandria
Functional: PBE-GGA
Structure: optimized geometry

Unit cell a=3.8982 b=3.8982 c=31.1077 alpha=90.00 beta=90.00 gamma=120.00
Space group R-3m (No. 166, hexagonal axes)
Asymmetric unit:
1 Er 0.0000 0.0000 0.0000 x3
2 In 0.0000 0.0000 0.5000 x3
3 Br 0.0000 0.0000 0.0864 x6

Summary:
theoretical density = 5.38 Mg/m³
magnetic moment = 0.00 μB/f.u.
D(E_F) = 5.2 states/eV/cell



Compound: ErIn5Br8
Source: Alexandria
Functional: PBE-GGA
Structure: optimized geometry

Unit cell a=9.6445 b=9.6445 c=10.1174 alpha=90.00 beta=90.00 gamma=90.00
Space group I-4 (No. 82)
Asymmetric unit:
1 Er 0.0000 0.0000 0.0000 x2
2 In 0.0000 0.5000 0.2500 x2
3 In 0.1246 0.2343 0.6235 x8
4 Br 0.0631 0.1711 0.2557 x8
5 Br 0.0719 0.2776 0.9264 x8

Summary:
theoretical density = 4.87 Mg/m³
magnetic moment = 0.00 μB/f.u.
D(E_F) = 0.0 states/eV/cell



Compound: ErIn2Br5
Source: Alexandria
Functional: PBE-GGA
Structure: optimized geometry

Unit cell a=13.1959 b=8.8533 c=9.0403 alpha=90.00 beta=90.00 gamma=90.00
Space group Pnma (No. 62)
Asymmetric unit:
1 Er 0.0067 0.2500 0.0755 x4
2 In 0.1658 0.0125 0.6141 x8
3 Br 0.0032 0.2500 0.4029 x4
4 Br 0.0536 0.5518 0.1684 x8
5 Br 0.1996 0.2500 0.9435 x4
6 Br 0.2014 0.7500 0.8665 x4

Summary:
theoretical density = 5.01 Mg/m³
magnetic moment = 0.00 μB/f.u.
D(E_F) = 0.0 states/eV/cell



Compound: KErIn2Br6
Source: Alexandria
Functional: PBE-GGA
Structure: optimized geometry

Unit cell a=8.1035 b=8.1035 c=20.7298 alpha=90.00 beta=90.00 gamma=120.00
Space group R3 (No. 146, hexagonal axes)
Asymmetric unit:
1 K 0.0000 0.0000 0.0000 x3
2 Er 0.0000 0.0000 0.4924 x3
3 In 0.0000 0.0000 0.2904 x3
4 In 0.0000 0.0000 0.7964 x3
5 Br 0.0225 0.4051 0.2309 x9
6 Br 0.0728 0.6880 0.0743 x9

Summary:
theoretical density = 3.87 Mg/m³
magnetic moment = 0.00 μB/f.u.
D(E_F) = 0.0 states/eV/cell



Compound: ErMnInBr6
Source: Alexandria
Functional: PBE-GGA
Structure: optimized geometry

Unit cell a=7.1076 b=7.1076 c=14.5779 alpha=90.00 beta=90.00 gamma=120.00
Space group P-31c (No. 163)
Asymmetric unit:
1 Er 0.3333 0.6667 0.2500 x2
2 Mn 0.3333 0.6667 0.7500 x2
3 In 0.0000 0.0000 0.0000 x2
4 Br 0.0090 0.3747 0.6416 x12

Summary:
theoretical density = 4.25 Mg/m³
magnetic moment = 5.00 μB/f.u.
D(E_F) = 0.0 states/eV/cell



Compound: Na2ErInBr6
Source: Alexandria
Functional: PBE-GGA
Structure: optimized geometry

Unit cell a=7.5696 b=7.5696 c=20.7729 alpha=90.00 beta=90.00 gamma=120.00
Space group R3 (No. 146, hexagonal axes)
Asymmetric unit:
1 Na 0.0000 0.0000 0.0000 x3
2 Na 0.0000 0.0000 0.4850 x3
3 Er 0.0000 0.0000 0.6780 x3
4 In 0.0000 0.0000 0.1944 x3
5 Br 0.0085 0.3170 0.7488 x9
6 Br 0.0293 0.6320 0.2592 x9

Summary:
theoretical density = 3.90 Mg/m³
magnetic moment = 0.00 μB/f.u.
D(E_F) = 0.0 states/eV/cell



Compound: RbErIn2Br6
Source: Alexandria
Functional: PBE-GGA
Structure: optimized geometry

Unit cell a=8.1751 b=8.1751 c=21.1794 alpha=90.00 beta=90.00 gamma=120.00
Space group R3 (No. 146, hexagonal axes)
Asymmetric unit:
1 Rb 0.0000 0.0000 0.0000 x3
2 Er 0.0000 0.0000 0.4906 x3
3 In 0.0000 0.0000 0.2923 x3
4 In 0.0000 0.0000 0.8001 x3
5 Br 0.0309 0.3977 0.2274 x9
6 Br 0.0647 0.6675 0.0736 x9

Summary:
theoretical density = 3.91 Mg/m³
magnetic moment = 0.00 μB/f.u.
D(E_F) = 0.0 states/eV/cell



Compound: ErInSn2Br8
Source: Alexandria
Functional: PBE-GGA
Structure: optimized geometry

Unit cell a=6.7950 b=7.2298 c=9.1755 alpha=87.02 beta=88.33 gamma=88.41
Space group P-1 (No. 2)
Asymmetric unit:
1 Er 0.0000 0.0000 0.0000 x1
2 In 0.0000 0.0000 0.5000 x1
3 Sn 0.4934 0.4891 0.7493 x2
4 Br 0.2308 0.8367 0.7839 x2
5 Br 0.2358 0.3159 0.9801 x2
6 Br 0.2449 0.8519 0.2191 x2
7 Br 0.2745 0.3605 0.5278 x2

Summary:
theoretical density = 4.28 Mg/m³
magnetic moment = 0.00 μB/f.u.
D(E_F) = 0.0 states/eV/cell



Compound: ErInSnBr6
Source: Alexandria
Functional: PBE-GGA
Structure: optimized geometry

Unit cell a=7.5231 b=7.5231 c=7.1144 alpha=90.00 beta=90.00 gamma=120.00
Space group P312 (No. 149)
Asymmetric unit:
1 Er 0.0000 0.0000 0.0000 x1
2 In 0.3333 0.6667 0.5000 x1
3 Sn 0.6667 0.3333 0.0000 x1
4 Br 0.3125 0.0198 0.2277 x6

Summary:
theoretical density = 4.19 Mg/m³
magnetic moment = 0.00 μB/f.u.
D(E_F) = 0.0 states/eV/cell



Compound: SrErInBr6
Source: Alexandria
Functional: PBE-GGA
Structure: optimized geometry

Unit cell a=7.6555 b=7.6555 c=14.0446 alpha=90.00 beta=90.00 gamma=120.00
Space group P-31c (No. 163)
Asymmetric unit:
1 Sr 0.3333 0.6667 0.2500 x2
2 Er 0.3333 0.6667 0.7500 x2
3 In 0.0000 0.0000 0.0000 x2
4 Br 0.0274 0.3783 0.6346 x12

Summary:
theoretical density = 3.96 Mg/m³
magnetic moment = 0.00 μB/f.u.
D(E_F) = 0.0 states/eV/cell



Final energy, record by record: -29.1 -55.8 -28.2 -62.6 -55.4 -52.2 -52.1 -48.8 -75.7 -147.1 -44.6 -40.3 -90.1 -114.0 -104.7 -75.4 -105.0 -104.3 -41.8 -32.6 -68.5 eV per cell